# Co2ReAuCl PBE optimized geometry
data_Co2ReAuCl
_chemical_formula_sum 'Co2 Re1 Au1 Cl1'
_space_group_name_H-M_alt 'P 1'
_space_group_IT_number 1
_cell_length_a 4.586
_cell_length_b 4.438
_cell_length_c 4.586
_cell_angle_alpha 90.00
_cell_angle_beta 90.00
_cell_angle_gamma 90.00
loop_
_space_group_symop_operation_xyz
'x,y,z'
loop_
_atom_site_label
_atom_site_type_symbol
_atom_site_fract_x
_atom_site_fract_y
_atom_site_fract_z
Re1 Re 0.000 0.000 0.000
Cl1 Cl 0.000 0.500 0.000
Au1 Au 0.500 0.500 0.500
Co1 Co 0.000 0.000 0.500
Co2 Co 0.500 0.000 0.000
# - Uncorrected formation energy: 1.313 eV per atom
# - Density: 9.545 g/cm³
# - E: -5.0433 eV per atom